w | The following is a DFT calculation (PBE-GGA) of an optimized crystal structure of SrRe2Os.

a b c (Å): 7.6774 7.6774 5.6904
angles (deg): 90.00 90.00 90.00
Closest atoms and distances in Å follow each position.
Space group I-42d (No. 122)
Asymmetric unit:
Sr 0.0000 0.0000 0.0000 [4 per cell]  2 Os 2.85, 4 Re 3.18
Re 0.1827 0.2500 0.6250 [8 per cell]  2 Os 2.48
Os 0.0000 0.0000 0.5000 [4 per cell]  4 Re 2.48

Summary:
Total moment in Bohr magnetons per cell: 0.00
Fermi-level density of states in states/eV/f.u.: 2.4
Calculated volume in A^3/atom: 20.96

x | The following is a DFT calculation (PBE-GGA) of an optimized crystal structure of SrRe2Os.

a b c (Å): 5.6235 9.3919 2.6681
angles (deg): 90.00 90.00 90.00
Closest atoms and distances in Å follow each position.
Space group Cmmm (No. 65)
Asymmetric unit:
Sr 0.0000 0.0000 0.0000 [2 per cell]  2 Sr 2.67, 2 Os 2.81
Re 0.2500 0.2500 0.5000 [4 per cell]  4 Re 2.67-2.81
Os 0.0000 0.5000 0.0000 [2 per cell]  2 Os 2.67, 2 Sr 2.81

Summary:
Total moment in Bohr magnetons per cell: 0.00
Fermi-level density of states in states/eV/f.u.: 5.1
Calculated volume in A^3/atom: 17.61

The computed energies, referenced to the most stable structure and given in meV/atom, are w 0; x 36.